# PrSmCuHg | the Alexandria database | GGA-PBE | optimized geometry
data_PrSmCuHg
_chemical_formula_sum 'Pr1 Sm1 Cu1 Hg1'
_space_group_name_H-M_alt 'P 4 m m'
_space_group_IT_number 99
_cell_length_a 3.6775
_cell_length_b 3.6775
_cell_length_c 7.5597
_cell_angle_alpha 90.00
_cell_angle_beta 90.00
_cell_angle_gamma 90.00
loop_
_space_group_symop_operation_xyz
'x,y,z'
'-y,x,z'
'-x,-y,z'
'y,-x,z'
'-x,y,z'
'y,x,z'
'x,-y,z'
'-y,-x,z'
loop_
_atom_site_label
_atom_site_type_symbol
_atom_site_fract_x
_atom_site_fract_y
_atom_site_fract_z
Pr1 Pr 0.0000 0.0000 0.0000
Sm1 Sm 0.0000 0.0000 0.4588
Cu1 Cu 0.5000 0.5000 0.2451
Hg1 Hg 0.5000 0.5000 0.7208
# - theoretical density (g/cm3) = 9.02
# - Fermi-level density of states (states/eV per atom) = 1.046
# - electronic total energy (eV/atom) = -3.78

---

# PrSmCuHg | the Alexandria database | GGA-PBE | optimized geometry
data_PrSmCuHg
_chemical_formula_sum 'Pr4 Sm4 Cu4 Hg4'
_space_group_name_H-M_alt 'F -4 3 m'
_space_group_IT_number 216
_space_group_name_Hall 'F -4 2 3'
_cell_length_a 7.4514
_cell_length_b 7.4514
_cell_length_c 7.4514
_cell_angle_alpha 90.00
_cell_angle_beta 90.00
_cell_angle_gamma 90.00
loop_
_atom_site_label
_atom_site_type_symbol
_atom_site_fract_x
_atom_site_fract_y
_atom_site_fract_z
Pr1 Pr 0.0000 0.0000 0.0000
Sm1 Sm 0.0000 0.0000 0.5000
Cu1 Cu 0.2500 0.2500 0.7500
Hg1 Hg 0.2500 0.2500 0.2500
# - theoretical density (g/cm3) = 8.92
# - Fermi-level density of states (states/eV per atom) = 0.857
# - electronic total energy (eV/atom) = -3.75